# ErBe4Ni8, optimized geometry, DFT PBE-GGA
# - Spin magnetization: 0.000 μB per atom
# - ΔH_f (0 K): -0.366 eV/atom
# - DOS(E_F): 9.5 states/eV/f.u.
# - E: -5.421 eV per atom
data_ErBe4Ni8
_chemical_formula_sum 'Er2 Be8 Ni16'
_symmetry_space_group_name_H-M 'I 4/m m m'
_symmetry_Int_Tables_number 139
_symmetry_space_group_name_Hall '-I 4 2'
_cell_length_a 7.858
_cell_length_b 7.858
_cell_length_c 4.547
_cell_angle_alpha 90.00
_cell_angle_beta 90.00
_cell_angle_gamma 90.00
loop_
_atom_site_label
_atom_site_fract_x
_atom_site_fract_y
_atom_site_fract_z
_atom_site_occupancy
Er1 0.000 0.000 0.000 1
Be1 0.250 0.250 0.250 1
Ni1 0.000 0.226 0.500 1
Ni2 0.000 0.349 0.000 1



# ErBeNi11, optimized geometry, DFT PBE-GGA
# - Spin magnetization: 0.287 μB per atom
# - ΔH_f (0 K): -0.190 eV/atom
# - DOS(E_F): 20.1 states/eV/f.u.
# - E: -5.719 eV per atom
data_ErBeNi11
_chemical_formula_sum 'Er2 Be2 Ni22'
_symmetry_space_group_name_H-M 'C 1 2/m 1'
_symmetry_Int_Tables_number 12
_cell_length_a 4.605
_cell_length_b 11.518
_cell_length_c 6.130
_cell_angle_alpha 90.00
_cell_angle_beta 110.05
_cell_angle_gamma 90.00
loop_
_symmetry_equiv_pos_as_xyz
'x,y,z'
'-x,-y,-z'
'-x,y,-z'
'x,-y,z'
'x+1/2,y+1/2,z'
'-x+1/2,-y+1/2,-z'
'-x+1/2,y+1/2,-z'
'x+1/2,-y+1/2,z'
loop_
_atom_site_label
_atom_site_fract_x
_atom_site_fract_y
_atom_site_fract_z
_atom_site_occupancy
Er1 0.000 0.000 0.000 1
Be1 0.000 0.500 0.500 1
Ni1 0.000 0.000 0.500 1
Ni2 0.102 0.391 0.229 1
Ni3 0.167 0.176 0.355 1
Ni4 0.250 0.250 0.000 1



# ErBe2Ni, optimized geometry, DFT PBE-GGA
# - Spin magnetization: 0.000 μB per atom
# - ΔH_f (0 K): -0.275 eV/atom
# - DOS(E_F): 2.6 states/eV/f.u.
# - E: -4.724 eV per atom
data_ErBe2Ni
_chemical_formula_sum 'Er3 Be6 Ni3'
_symmetry_space_group_name_H-M 'R -3 m'
_symmetry_Int_Tables_number 166
_symmetry_space_group_name_Hall '-R 3 2"'
_cell_length_a 3.7508
_cell_length_b 3.7508
_cell_length_c 14.1492
_cell_angle_alpha 90.00
_cell_angle_beta 90.00
_cell_angle_gamma 120.00
loop_
_atom_site_label
_atom_site_fract_x
_atom_site_fract_y
_atom_site_fract_z
_atom_site_occupancy
Er1 0.0000 0.0000 0.0000 1
Be1 0.0000 0.0000 0.1930 1
Ni1 0.0000 0.0000 0.5000 1



# ErBeNi2, optimized geometry, DFT PBE-GGA
# - Spin magnetization: 0.000 μB per atom
# - ΔH_f (0 K): -0.401 eV/atom
# - DOS(E_F): 2.0 states/eV/f.u.
# - E: -5.364 eV per atom
# - ΔE to the lowest computed polymorph: 0.000 eV per formula unit
data_ErBeNi2
_chemical_formula_sum 'Er3 Be3 Ni6'
_symmetry_space_group_name_H-M 'R -3 m'
_symmetry_Int_Tables_number 166
_symmetry_space_group_name_Hall '-R 3 2"'
_cell_length_a 3.8457
_cell_length_b 3.8457
_cell_length_c 13.8420
_cell_angle_alpha 90.00
_cell_angle_beta 90.00
_cell_angle_gamma 120.00
loop_
_atom_site_label
_atom_site_fract_x
_atom_site_fract_y
_atom_site_fract_z
_atom_site_occupancy
Er1 0.0000 0.0000 0.0000 1
Be1 0.0000 0.0000 0.5000 1
Ni1 0.0000 0.0000 0.2012 1



# Er3Be2Ni7, optimized geometry, DFT PBE-GGA
# - Spin magnetization: 0.000 μB per atom
# - ΔH_f (0 K): -0.496 eV/atom
# - DOS(E_F): 5.0 states/eV/f.u.
# - E: -5.630 eV per atom
data_Er3Be2Ni7
_chemical_formula_sum 'Er9 Be6 Ni21'
_symmetry_space_group_name_H-M 'R -3 m'
_symmetry_Int_Tables_number 166
_symmetry_space_group_name_Hall '-R 3 2"'
_cell_length_a 5.0210
_cell_length_b 5.0210
_cell_length_c 22.5162
_cell_angle_alpha 90.00
_cell_angle_beta 90.00
_cell_angle_gamma 120.00
loop_
_atom_site_label
_atom_site_fract_x
_atom_site_fract_y
_atom_site_fract_z
_atom_site_occupancy
Er1 0.0000 0.0000 0.0000 1
Er2 0.0000 0.0000 0.1405 1
Be1 0.0000 0.0000 0.3332 1
Ni1 0.0000 0.0000 0.5000 1
Ni2 0.0006 0.5003 0.0757 1



# Er2BeNi4P3, optimized geometry, DFT PBE-GGA
# - Spin magnetization: 0.000 μB per atom
# - ΔH_f (0 K): -0.958 eV/atom
# - DOS(E_F): 4.6 states/eV/f.u.
# - E: -6.179 eV per atom
data_Er2BeNi4P3
_chemical_formula_sum 'Er2 Be1 Ni4 P3'
_symmetry_space_group_name_H-M 'P -4 m 2'
_symmetry_Int_Tables_number 115
_cell_length_a 3.830
_cell_length_b 3.830
_cell_length_c 9.289
_cell_angle_alpha 90.00
_cell_angle_beta 90.00
_cell_angle_gamma 90.00
loop_
_symmetry_equiv_pos_as_xyz
'x,y,z'
'y,-x,-z'
'-x,-y,z'
'-y,x,-z'
'-x,y,z'
'-y,-x,-z'
'x,-y,z'
'y,x,-z'
loop_
_atom_site_label
_atom_site_fract_x
_atom_site_fract_y
_atom_site_fract_z
_atom_site_occupancy
Er1 0.000 0.500 0.247 1
Be1 0.500 0.500 0.000 1
Ni1 0.000 0.000 0.500 1
Ni2 0.000 0.500 0.878 1
Ni3 0.500 0.500 0.500 1
P1 0.000 0.000 0.000 1
P2 0.000 0.500 0.638 1



# Er2Be3NiPt4, optimized geometry, DFT PBE-GGA
# - Spin magnetization: 0.000 μB per atom
# - ΔH_f (0 K): -0.867 eV/atom
# - DOS(E_F): 5.3 states/eV/f.u.
# - E: -5.892 eV per atom
data_Er2Be3NiPt4
_chemical_formula_sum 'Er2 Be3 Ni1 Pt4'
_symmetry_space_group_name_H-M 'P -4 m 2'
_symmetry_Int_Tables_number 115
_cell_length_a 3.964
_cell_length_b 3.964
_cell_length_c 9.885
_cell_angle_alpha 90.00
_cell_angle_beta 90.00
_cell_angle_gamma 90.00
loop_
_symmetry_equiv_pos_as_xyz
'x,y,z'
'y,-x,-z'
'-x,-y,z'
'-y,x,-z'
'-x,y,z'
'-y,-x,-z'
'x,-y,z'
'y,x,-z'
loop_
_atom_site_label
_atom_site_fract_x
_atom_site_fract_y
_atom_site_fract_z
_atom_site_occupancy
Er1 0.000 0.500 0.249 1
Be1 0.000 0.000 0.000 1
Be2 0.000 0.500 0.622 1
Ni1 0.500 0.500 0.000 1
Pt1 0.000 0.000 0.500 1
Pt2 0.000 0.500 0.851 1
Pt3 0.500 0.500 0.500 1



# ErScBeNi, optimized geometry, DFT PBE-GGA
# - Spin magnetization: 0.000 μB per atom
# - ΔH_f (0 K): -0.189 eV/atom
# - DOS(E_F): 3.5 states/eV/f.u.
# - E: -5.289 eV per atom
data_ErScBeNi
_chemical_formula_sum 'Er4 Sc4 Be4 Ni4'
_symmetry_space_group_name_H-M 'F -4 3 m'
_symmetry_Int_Tables_number 216
_symmetry_space_group_name_Hall 'F -4 2 3'
_cell_length_a 6.547
_cell_length_b 6.547
_cell_length_c 6.547
_cell_angle_alpha 90.00
_cell_angle_beta 90.00
_cell_angle_gamma 90.00
loop_
_atom_site_label
_atom_site_fract_x
_atom_site_fract_y
_atom_site_fract_z
_atom_site_occupancy
Er1 0.000 0.000 0.000 1
Sc1 0.000 0.000 0.500 1
Be1 0.250 0.250 0.750 1
Ni1 0.250 0.250 0.250 1



# ErBe2SiNi4, optimized geometry, DFT PBE-GGA
# - E_form (uncorrected): -0.43 eV per atom
# - Spin magnetization: 0.000 μB per atom
# - DOS(E_F): 5.2 states/eV/f.u.
# - E: -5.496 eV per atom
data_ErBe2SiNi4
_chemical_formula_sum 'Er3 Be6 Si3 Ni12'
_symmetry_space_group_name_H-M 'R -3 m'
_symmetry_Int_Tables_number 166
_symmetry_space_group_name_Hall '-R 3 2"'
_cell_length_a 3.8001
_cell_length_b 3.8001
_cell_length_c 23.9953
_cell_angle_alpha 90.00
_cell_angle_beta 90.00
_cell_angle_gamma 120.00
loop_
_atom_site_label
_atom_site_fract_x
_atom_site_fract_y
_atom_site_fract_z
_atom_site_occupancy
Er1 0.0000 0.0000 0.0000 1
Be1 0.0000 0.0000 0.2373 1
Si1 0.0000 0.0000 0.5000 1
Ni1 0.0000 0.0000 0.1335 1
Ni2 0.0000 0.0000 0.4072 1



# ErBeSi2Ni2, optimized geometry, DFT PBE-GGA
# - E_form (uncorrected): -0.07 eV per atom
# - Spin magnetization: 0.000 μB per atom
# - DOS(E_F): 4.0 states/eV/f.u.
# - E: -5.185 eV per atom
data_ErBeSi2Ni2
_chemical_formula_sum 'Er1 Be1 Si2 Ni2'
_symmetry_space_group_name_H-M 'P 4/m m m'
_symmetry_Int_Tables_number 123
_symmetry_space_group_name_Hall '-P 4 2'
_cell_length_a 4.164
_cell_length_b 4.164
_cell_length_c 5.080
_cell_angle_alpha 90.00
_cell_angle_beta 90.00
_cell_angle_gamma 90.00
loop_
_atom_site_label
_atom_site_fract_x
_atom_site_fract_y
_atom_site_fract_z
_atom_site_occupancy
Er1 0.000 0.000 0.000 1
Be1 0.000 0.000 0.500 1
Si1 0.000 0.500 0.500 1
Ni1 0.500 0.500 0.245 1



# ErBeSiNi6, optimized geometry, DFT PBE-GGA
# - E_form (uncorrected): -0.18 eV per atom
# - Spin magnetization: 0.000 μB per atom
# - DOS(E_F): 4.6 states/eV/f.u.
# - E: -5.559 eV per atom
data_ErBeSiNi6
_chemical_formula_sum 'Er4 Be4 Si4 Ni24'
_symmetry_space_group_name_H-M 'I m m a'
_symmetry_Int_Tables_number 74
_symmetry_space_group_name_Hall '-I 2b 2'
_cell_length_a 6.096
_cell_length_b 7.539
_cell_length_c 10.130
_cell_angle_alpha 90.00
_cell_angle_beta 90.00
_cell_angle_gamma 90.00
loop_
_atom_site_label
_atom_site_fract_x
_atom_site_fract_y
_atom_site_fract_z
_atom_site_occupancy
Er1 0.000 0.250 0.207 1
Be1 0.000 0.000 0.000 1
Si1 0.250 0.250 0.750 1
Ni1 0.000 0.250 0.483 1
Ni2 0.000 0.250 0.911 1
Ni3 0.204 0.010 0.620 1